#i
Density functional theory data (GGA-PBE) for a relaxed Li3AcAg crystal.

Unit cell a=5.025 b=5.025 c=5.025 alpha=90.00 beta=90.00 gamma=90.00
Atoms (fractional coordinates):
Li1 0.000 0.000 0.500
Li2 0.000 0.500 0.000
Li3 0.500 0.000 0.000
Ac1 0.500 0.500 0.500
Ag1 0.000 0.000 0.000

Total magnetic moment ... 0.7 μB per formula unit
Symmetry ... Pm-3m
Calculated volume ... 126.9 Å³ per cell

***

#ii
Density functional theory data (GGA-PBE) for a relaxed Li3AcAg crystal.

Unit cell a=9.799 b=9.799 c=9.799 alpha=145.89 beta=145.89 gamma=49.01
Atoms (fractional coordinates):
Li1 0.110 0.369 0.741
Li2 0.214 0.214 0.000
Li3 0.628 0.369 0.259
Li4 0.631 0.372 0.741
Li5 0.631 0.890 0.259
Li6 0.786 0.786 0.000
Ac1 0.060 0.560 0.500
Ac2 0.440 0.940 0.500
Ag1 0.500 0.500 0.000
Ag2 0.750 0.250 0.500

Total magnetic moment ... 0.0 μB per formula unit
Symmetry ... I-4m2
Calculated volume ... 294.6 Å³ per cell

***

#iii
Density functional theory data (GGA-PBE) for a relaxed Li3AcAg crystal.

Unit cell a=6.053 b=5.924 c=7.408 alpha=90.00 beta=112.01 gamma=90.00
Atoms (fractional coordinates):
Li1 0.170 0.250 0.113
Li2 0.283 0.518 0.819
Li3 0.283 0.982 0.819
Li4 0.717 0.018 0.181
Li5 0.717 0.482 0.181
Li6 0.830 0.750 0.887
Ac1 0.291 0.750 0.352
Ac2 0.709 0.250 0.648
Ag1 0.120 0.250 0.466
Ag2 0.880 0.750 0.534

Total magnetic moment ... 0.0 μB per formula unit
Symmetry ... P2_1/m
Calculated volume ... 246.3 Å³ per cell

***

Relative energy table, unit meV/atom: #i 164; #ii 184; #iii 0

***

#i
Density functional theory data (GGA-PBE) for a relaxed Li2AcAg crystal.

Unit cell a=4.498 b=4.498 c=17.174 alpha=90.00 beta=90.00 gamma=120.00
Atoms (fractional coordinates):
Li1 0.000 0.000 0.202
Li2 0.000 0.000 0.798
Li3 0.333 0.667 0.465
Li4 0.333 0.667 0.869
Li5 0.667 0.333 0.131
Li6 0.667 0.333 0.535
Ac1 0.000 0.000 0.000
Ac2 0.333 0.667 0.667
Ac3 0.667 0.333 0.333
Ag1 0.000 0.000 0.500
Ag2 0.333 0.667 0.167
Ag3 0.667 0.333 0.833

Total magnetic moment ... 0.0 μB per formula unit
Symmetry ... R-3m
Calculated volume ... 300.9 Å³ per cell

***

#ii
Density functional theory data (GGA-PBE) for a relaxed Li2AcAg crystal.

Unit cell a=4.447 b=4.447 c=5.569 alpha=90.00 beta=90.00 gamma=90.00
Atoms (fractional coordinates):
Li1 0.000 0.500 0.000
Li2 0.500 0.000 0.000
Ac1 0.000 0.000 0.500
Ag1 0.500 0.500 0.500

Total magnetic moment ... 0.0 μB per formula unit
Symmetry ... P4/mmm
Calculated volume ... 110.1 Å³ per cell

***

Relative energy table, unit meV/atom: #i 0; #ii 53